# 1
# CoAsIrW, relaxed, DFT PBE
data_CoAsIrW
_chemical_formula_sum 'Co4 As4 Ir4 W4'
_symmetry_space_group_name_H-M 'F -4 3 m'
_symmetry_Int_Tables_number 216
_symmetry_space_group_name_Hall 'F -4 2 3'
_cell_length_a 6.189
_cell_length_b 6.189
_cell_length_c 6.189
_cell_angle_alpha 90.00
_cell_angle_beta 90.00
_cell_angle_gamma 90.00
loop_
_atom_site_label
_atom_site_type_symbol
_atom_site_fract_x
_atom_site_fract_y
_atom_site_fract_z
Co1 Co 0.000 0.000 0.000
As1 As 0.250 0.250 0.750
Ir1 Ir 0.000 0.000 0.500
W1 W 0.250 0.250 0.250
# * VASP energy: -127.3 eV per cell

---

# 2
# YCoAsIr, relaxed, DFT PBE
data_YCoAsIr
_chemical_formula_sum 'Y4 Co4 As4 Ir4'
_symmetry_space_group_name_H-M 'F -4 3 m'
_symmetry_Int_Tables_number 216
_symmetry_space_group_name_Hall 'F -4 2 3'
_cell_length_a 6.526
_cell_length_b 6.526
_cell_length_c 6.526
_cell_angle_alpha 90.00
_cell_angle_beta 90.00
_cell_angle_gamma 90.00
loop_
_atom_site_label
_atom_site_type_symbol
_atom_site_fract_x
_atom_site_fract_y
_atom_site_fract_z
Y1 Y 0.000 0.000 0.000
Co1 Co 0.000 0.000 0.500
As1 As 0.250 0.250 0.250
Ir1 Ir 0.250 0.250 0.750
# * VASP energy: -108.9 eV per cell

---

# 3
# YCoAsIr, relaxed, DFT PBE
data_YCoAsIr
_chemical_formula_sum 'Y4 Co4 As4 Ir4'
_symmetry_space_group_name_H-M 'F -4 3 m'
_symmetry_Int_Tables_number 216
_symmetry_space_group_name_Hall 'F -4 2 3'
_cell_length_a 6.446
_cell_length_b 6.446
_cell_length_c 6.446
_cell_angle_alpha 90.00
_cell_angle_beta 90.00
_cell_angle_gamma 90.00
loop_
_atom_site_label
_atom_site_type_symbol
_atom_site_fract_x
_atom_site_fract_y
_atom_site_fract_z
Y1 Y 0.000 0.000 0.000
Co1 Co 0.250 0.250 0.750
As1 As 0.000 0.000 0.500
Ir1 Ir 0.250 0.250 0.250
# * VASP energy: -111.8 eV per cell

---

# 4
# ZnCoAsIr, relaxed, DFT PBE
data_ZnCoAsIr
_chemical_formula_sum 'Zn4 Co4 As4 Ir4'
_symmetry_space_group_name_H-M 'F -4 3 m'
_symmetry_Int_Tables_number 216
_symmetry_space_group_name_Hall 'F -4 2 3'
_cell_length_a 6.091
_cell_length_b 6.091
_cell_length_c 6.091
_cell_angle_alpha 90.00
_cell_angle_beta 90.00
_cell_angle_gamma 90.00
loop_
_atom_site_label
_atom_site_type_symbol
_atom_site_fract_x
_atom_site_fract_y
_atom_site_fract_z
Zn1 Zn 0.000 0.000 0.000
Co1 Co 0.000 0.000 0.500
As1 As 0.250 0.250 0.250
Ir1 Ir 0.250 0.250 0.750
# * VASP energy: -83.3 eV per cell

---

# 5
# ZnCoAsIr, relaxed, DFT PBE
data_ZnCoAsIr
_chemical_formula_sum 'Zn4 Co4 As4 Ir4'
_symmetry_space_group_name_H-M 'F -4 3 m'
_symmetry_Int_Tables_number 216
_symmetry_space_group_name_Hall 'F -4 2 3'
_cell_length_a 6.016
_cell_length_b 6.016
_cell_length_c 6.016
_cell_angle_alpha 90.00
_cell_angle_beta 90.00
_cell_angle_gamma 90.00
loop_
_atom_site_label
_atom_site_type_symbol
_atom_site_fract_x
_atom_site_fract_y
_atom_site_fract_z
Zn1 Zn 0.000 0.000 0.000
Co1 Co 0.250 0.250 0.750
As1 As 0.000 0.000 0.500
Ir1 Ir 0.250 0.250 0.250
# * VASP energy: -87.4 eV per cell

---

# 6
# KCo3As5, relaxed, DFT PBE
data_KCo3As5
_chemical_formula_sum 'K1 Co3 As5'
_symmetry_space_group_name_H-M 'P 6/m m m'
_symmetry_Int_Tables_number 191
_symmetry_space_group_name_Hall '-P 6 2'
_cell_length_a 5.0453
_cell_length_b 5.0453
_cell_length_c 8.1678
_cell_angle_alpha 90.00
_cell_angle_beta 90.00
_cell_angle_gamma 120.00
loop_
_atom_site_label
_atom_site_type_symbol
_atom_site_fract_x
_atom_site_fract_y
_atom_site_fract_z
K1 K 0.0000 0.0000 0.0000
Co1 Co 0.0000 0.5000 0.5000
As1 As 0.0000 0.0000 0.5000
As2 As 0.3333 0.6667 0.2665
# * VASP energy: -47.4 eV per cell